[1]
DFT (GGA-PBEsol) results for a relaxed structure of ReTc2Ir.

a b c (Å): 2.7147 2.7147 9.0175
angles (deg): 81.34 81.34 60.00
With the nearest neighbours (Å) after each atom.
Fractional coordinates of all 4 atoms:
Tc (0.0010, 0.0010, 0.9971)  9 Tc 2.67-2.71, 3 Re 2.73
Tc (0.7488, 0.7488, 0.7536)  9 Tc 2.67-2.71, 3 Ir 2.74
Ir (0.4999, 0.4999, 0.5004)  6 Ir 2.71, 3 Re 2.73, 3 Tc 2.74
Re (0.2504, 0.2504, 0.2489)  6 Re 2.71, 3 Ir 2.73, 3 Tc 2.73

Computed properties:
Space-group type   No. 160
Formation enthalpy at 0 K   -0.47 kcal/mol of atoms

[2]
DFT (GGA-PBEsol) results for a relaxed structure of YTiS2.

a b c (Å): 3.7895 3.7895 8.0691
angles (deg): 76.42 76.42 60.00
With the nearest neighbours (Å) after each atom.
Fractional coordinates of all 4 atoms:
S (0.1005, 0.1005, 0.6985)  1 Ti 2.34
S (0.8995, 0.8995, 0.3015)  1 Ti 2.34
Y (0.5000, 0.5000, 0.5000)  6 S 2.68
Ti (0.0000, 0.0000, 0.0000)  2 S 2.34

Computed properties:
ΔE_f (raw)   -426 kJ/mol of formula units
Space-group type   No. 166
Energy above the most stable polymorph in this dataset   181 meV/atom

[3]
DFT (GGA-PBEsol) results for a relaxed structure of Na7Ti11O24.

a b c (Å): 6.1527 8.7355 10.5017
angles (deg): 113.81 106.00 92.37
With the nearest neighbours (Å) after each atom.
Fractional coordinates of all 42 atoms:
O (0.6392, 0.8883, 0.7954)  3 Ti 1.97-2.09, 1 Na 2.15
O (0.6441, 0.4659, 0.8489)  2 Ti 1.87-1.95
O (0.5118, 0.7357, 0.5139)  3 Ti 2.00-2.04, 1 Na 2.19
O (0.9980, 0.2218, 0.4861)  3 Ti 2.00-2.04, 1 Na 2.19
O (0.8438, 0.0929, 0.2046)  3 Ti 1.97-2.09, 1 Na 2.15
O (0.2048, 0.3830, 0.8489)  2 Ti 1.87-1.95
O (0.4882, 0.2643, 0.4861)  3 Ti 2.00-2.04, 1 Na 2.19
O (0.1150, 0.9355, 0.3270)  3 Ti 2.01, 1 Na 2.20
O (0.5039, 0.7307, 0.0000)  3 Ti 2.01-2.05, 1 Na 2.18
O (0.3026, 0.0555, 0.6584)  3 Ti 1.99-2.05, 1 Na 2.17
O (0.3559, 0.5341, 0.1511)  2 Ti 1.87-1.95
O (0.7952, 0.6170, 0.1511)  2 Ti 1.87-1.95
O (0.1562, 0.9071, 0.7954)  3 Ti 1.97-2.09, 1 Na 2.15
O (0.7880, 0.6084, 0.6730)  3 Ti 2.01, 1 Na 2.20
O (0.3608, 0.1117, 0.2046)  3 Ti 1.97-2.09, 1 Na 2.15
O (0.3558, 0.6029, 0.6584)  3 Ti 1.99-2.05, 1 Na 2.17
O (0.2120, 0.3916, 0.3270)  3 Ti 2.01, 1 Na 2.20
O (0.6974, 0.9445, 0.3416)  3 Ti 1.99-2.05, 1 Na 2.17
O (0.0844, 0.2193, 0.0000)  2 Ti 1.89
O (0.9156, 0.7807, 0.0000)  2 Ti 1.89
O (0.0020, 0.7782, 0.5139)  3 Ti 2.00-2.04, 1 Na 2.19
O (0.6442, 0.3971, 0.3416)  3 Ti 1.99-2.05, 1 Na 2.17
O (0.4961, 0.2693, 0.0000)  3 Ti 2.01-2.05, 1 Na 2.18
O (0.8850, 0.0645, 0.6730)  3 Ti 2.01, 1 Na 2.20
Ti (0.3525, 0.3277, 0.1651)  6 O 1.87-2.09
Ti (0.6475, 0.6723, 0.8349)  6 O 1.87-2.09
Ti (0.5000, 0.5000, 0.5000)  6 O 2.00-2.01
Ti (0.1875, 0.1626, 0.8349)  6 O 1.87-2.09
Ti (0.8125, 0.8374, 0.1651)  6 O 1.87-2.09
Ti (0.5000, 0.5000, 0.0000)  6 O 1.95-2.01
Ti (0.8303, 0.8303, 0.6606)  6 O 2.01-2.02
Ti (0.6730, 0.1730, 0.3461)  6 O 1.97-2.04
Ti (0.1697, 0.1697, 0.3394)  6 O 2.01-2.02
Ti (0.3270, 0.8270, 0.6539)  6 O 1.97-2.04
Ti (0.0000, 0.0000, 0.5000)  6 O 2.00-2.01
Na (0.6045, 0.2120, 0.6785)  4 O 2.17-2.20
Na (0.9260, 0.5335, 0.3215)  4 O 2.17-2.20
Na (0.0740, 0.4665, 0.6785)  4 O 2.17-2.20
Na (0.7633, 0.1134, 0.0000)  4 O 2.15-2.18
Na (0.2367, 0.8866, 0.0000)  4 O 2.15-2.18
Na (0.0000, 0.5000, 0.0000)  4 O 2.25
Na (0.3955, 0.7880, 0.3215)  4 O 2.17-2.20

Computed properties:
ΔE_f (raw)   -11064 kJ/mol of formula units
Space-group type   No. 12

[4]
DFT (GGA-PBEsol) results for a relaxed structure of Na2YPWO8.

a b c (Å): 6.8762 11.3701 11.3701
angles (deg): 64.14 72.40 72.40
With the nearest neighbours (Å) after each atom.
Fractional coordinates of all 52 atoms:
Y (0.2500, 0.3211, 0.6789)  8 O 2.26-2.42
Y (0.7500, 0.1789, 0.8211)  8 O 2.26-2.42
Y (0.7500, 0.6789, 0.3211)  8 O 2.26-2.42
Y (0.2500, 0.8211, 0.1789)  8 O 2.26-2.42
O (0.1910, 0.5604, 0.5769)  1 P 1.54
O (0.8284, 0.9396, 0.9231)  1 P 1.54
O (0.5672, 0.3588, 0.6550)  1 P 1.55
O (0.9328, 0.3450, 0.6412)  1 P 1.55
O (0.8077, 0.3605, 0.1031)  1 W 1.78
O (0.6923, 0.8969, 0.6395)  1 W 1.78
O (0.7712, 0.1395, 0.3969)  1 W 1.78
O (0.6910, 0.5769, 0.5604)  1 P 1.54
O (0.3090, 0.4231, 0.4396)  1 P 1.54
O (0.1923, 0.6395, 0.8969)  1 W 1.78
O (0.3284, 0.9231, 0.9396)  1 P 1.54
O (0.0810, 0.1412, 0.8450)  1 P 1.55
O (0.0672, 0.6550, 0.3588)  1 P 1.55
O (0.8326, 0.1062, 0.6524)  1 W 1.80
O (0.3326, 0.6524, 0.1062)  1 W 1.80
O (0.5810, 0.8450, 0.1412)  1 P 1.55
O (0.7288, 0.6031, 0.8605)  1 W 1.78
O (0.9088, 0.6062, 0.1524)  1 W 1.80
O (0.1716, 0.0604, 0.0769)  1 P 1.54
O (0.8090, 0.4396, 0.4231)  1 P 1.54
O (0.0912, 0.3938, 0.8476)  1 W 1.80
O (0.4088, 0.1524, 0.6062)  1 W 1.80
O (0.2712, 0.3969, 0.1395)  1 W 1.78
O (0.6674, 0.3476, 0.8938)  1 W 1.80
O (0.1674, 0.8938, 0.3476)  1 W 1.80
O (0.4328, 0.6412, 0.3450)  1 P 1.55
O (0.9190, 0.8588, 0.1550)  1 P 1.55
O (0.2288, 0.8605, 0.6031)  1 W 1.78
O (0.6716, 0.0769, 0.0604)  1 P 1.54
O (0.4190, 0.1550, 0.8588)  1 P 1.55
O (0.3077, 0.1031, 0.3605)  1 W 1.78
O (0.5912, 0.8476, 0.3938)  1 W 1.80
Na (0.6483, 0.3970, 0.2938)  3 O 2.27-2.44
Na (0.3517, 0.6030, 0.7062)  3 O 2.27-2.44
Na (0.1608, 0.8970, 0.7938)  3 O 2.27-2.44
Na (0.8517, 0.7062, 0.6030)  3 O 2.27-2.44
Na (0.1483, 0.2938, 0.3970)  3 O 2.27-2.44
Na (0.8392, 0.1030, 0.2062)  3 O 2.27-2.44
Na (0.3392, 0.2062, 0.1030)  3 O 2.27-2.44
Na (0.6608, 0.7938, 0.8970)  3 O 2.27-2.44
P (0.2500, 0.0681, 0.9319)  4 O 1.54-1.55
P (0.2500, 0.5681, 0.4319)  4 O 1.54-1.55
P (0.7500, 0.4319, 0.5681)  4 O 1.54-1.55
P (0.7500, 0.9319, 0.0681)  4 O 1.54-1.55
W (0.3224, 0.9276, 0.4276)  4 O 1.78-1.80
W (0.1776, 0.5724, 0.0724)  4 O 1.78-1.80
W (0.6776, 0.0724, 0.5724)  4 O 1.78-1.80
W (0.8224, 0.4276, 0.9276)  4 O 1.78-1.80

Computed properties:
ΔE_f (raw)   -3190 kJ/mol of formula units
Space-group type   No. 73

[5]
DFT (GGA-PBEsol) results for a relaxed structure of K2CuF4.

a b c (Å): 4.0433 4.0433 7.0014
angles (deg): 106.78 106.78 90.00
With the nearest neighbours (Å) after each atom.
Fractional coordinates of all 7 atoms:
F (0.0000, 0.5000, 0.0000)  2 Cu 2.02
F (0.1540, 0.1540, 0.3081)  1 Cu 1.97
F (0.8460, 0.8460, 0.6919)  1 Cu 1.97
F (0.5000, 0.0000, 0.0000)  2 Cu 2.02
Cu (0.0000, 0.0000, 0.0000)  6 F 1.97-2.02
K (0.6431, 0.6431, 0.2862)  9 F 2.59-2.86
K (0.3569, 0.3569, 0.7138)  9 F 2.59-2.86

Computed properties:
ΔE_f (raw)   -1548 kJ/mol of formula units
Space-group type   No. 139
Energy above the most stable polymorph in this dataset   2 meV/atom

[6]
DFT (GGA-PBEsol) results for a relaxed structure of As2IrAu.

a b c (Å): 5.5029 5.5029 7.0003
angles (deg): 113.14 113.14 90.00
With the nearest neighbours (Å) after each atom.
Fractional coordinates of all 8 atoms:
Ir (0.7500, 0.2500, 0.5000)  4 As 2.35
Ir (0.5000, 0.5000, 0.0000)  4 As 2.35
As (0.1250, 0.1516, 0.7500)  2 Ir 2.35, 2 Au 2.52
As (0.8484, 0.3750, 0.2500)  2 Ir 2.35, 2 Au 2.52
As (0.4016, 0.8750, 0.2500)  2 Ir 2.35, 2 Au 2.52
As (0.6250, 0.5984, 0.7500)  2 Ir 2.35, 2 Au 2.52
Au (0.0000, 0.0000, 0.0000)  4 As 2.52
Au (0.2500, 0.7500, 0.5000)  4 As 2.52

Computed properties:
Space-group type   No. 122
Energy above the most stable polymorph in this dataset   33 meV/atom
Formation enthalpy at 0 K   3.85 kcal/mol of atoms

[7]
DFT (GGA-PBEsol) results for a relaxed structure of TaMn2B4.

a b c (Å): 3.0167 3.1209 6.7439
angles (deg): 103.38 102.92 90.00
With the nearest neighbours (Å) after each atom.
Fractional coordinates of all 7 atoms:
B (0.3524, 0.3524, 0.7048)  2 B 1.79
B (0.6476, 0.6476, 0.2952)  2 B 1.79
B (0.0725, 0.5725, 0.1450)  3 B 1.79-1.85
B (0.9275, 0.4275, 0.8550)  3 B 1.79-1.85
Mn (0.1871, 0.1871, 0.3743)  7 B 2.11-2.23
Mn (0.8129, 0.8129, 0.6257)  7 B 2.11-2.23
Ta (0.5000, 0.0000, 0.0000)  12 B 2.36-2.45

Computed properties:
Space-group type   No. 71
Formation enthalpy at 0 K   -14.47 kcal/mol of atoms

[8]
DFT (GGA-PBEsol) results for a relaxed structure of TlCdPb2.

a b c (Å): 3.6516 5.5660 6.3561
angles (deg): 115.97 106.69 90.00
With the nearest neighbours (Å) after each atom.
Fractional coordinates of all 4 atoms:
Pb (0.7360, 0.7360, 0.4719)  2 Cd 3.14, 4 Pb 3.34, 2 Tl 3.39
Pb (0.2640, 0.2640, 0.5281)  2 Cd 3.14, 4 Pb 3.34, 2 Tl 3.39
Cd (0.0000, 0.5000, 0.0000)  4 Pb 3.14, 4 Tl 3.33
Tl (0.5000, 0.0000, 0.0000)  4 Cd 3.33, 4 Pb 3.39, 2 Tl 3.65

Computed properties:
Space-group type   No. 71
Energy above the most stable polymorph in this dataset   29 meV/atom
Formation enthalpy at 0 K   1.28 kcal/mol of atoms

[9]
DFT (GGA-PBEsol) results for a relaxed structure of CaTl2Co.

a b c (Å): 3.3203 3.3203 7.5120
angles (deg): 90.00 90.00 90.00
With the nearest neighbours (Å) after each atom.
Fractional coordinates of all 4 atoms:
Tl (0.0000, 0.0000, 0.7021)  4 Co 2.80, 1 Tl 3.04
Tl (0.0000, 0.0000, 0.2979)  4 Co 2.80, 1 Tl 3.04
Ca (0.5000, 0.5000, 0.0000)  8 Tl 3.24, 4 Ca 3.32
Co (0.5000, 0.5000, 0.5000)  8 Tl 2.80

Computed properties:
Space-group type   No. 123
Formation enthalpy at 0 K   1.41 kcal/mol of atoms

[10]
DFT (GGA-PBEsol) results for a relaxed structure of ReBiC3.

a b c (Å): 4.0677 4.0677 4.0677
angles (deg): 90.00 90.00 90.00
With the nearest neighbours (Å) after each atom.
Fractional coordinates of all 5 atoms:
C (0.0000, 0.0000, 0.5000)  2 Re 2.03
C (0.0000, 0.5000, 0.0000)  2 Re 2.03
C (0.5000, 0.0000, 0.0000)  2 Re 2.03
Bi (0.5000, 0.5000, 0.5000)  12 C 2.88
Re (0.0000, 0.0000, 0.0000)  6 C 2.03

Computed properties:
Space-group type   No. 221
Formation enthalpy at 0 K   38.81 kcal/mol of atoms

[11]
DFT (GGA-PBEsol) results for a relaxed structure of LaYBr2.

a b c (Å): 5.1413 5.1413 5.1413
angles (deg): 60.00 60.00 60.00
With the nearest neighbours (Å) after each atom.
Fractional coordinates of all 4 atoms:
Br (0.2500, 0.2500, 0.2500)  4 Y 3.15, 4 La 3.15
Br (0.7500, 0.7500, 0.7500)  4 La 3.15, 4 Y 3.15
La (0.5000, 0.5000, 0.5000)  8 Br 3.15
Y (0.0000, 0.0000, 0.0000)  8 Br 3.15

Computed properties:
ΔE_f (raw)   -388 kJ/mol of formula units
Space-group type   No. 225
Energy above the most stable polymorph in this dataset   178 meV/atom

[12]
DFT (GGA-PBEsol) results for a relaxed structure of HfTi2Nb.

a b c (Å): 4.6441 4.6441 4.6441
angles (deg): 60.00 60.00 60.00
With the nearest neighbours (Å) after each atom.
Fractional coordinates of all 4 atoms:
Ti (0.7500, 0.7500, 0.7500)  4 Hf 2.84, 4 Nb 2.84
Ti (0.2500, 0.2500, 0.2500)  4 Hf 2.84, 4 Nb 2.84
Nb (0.0000, 0.0000, 0.0000)  8 Ti 2.84
Hf (0.5000, 0.5000, 0.5000)  8 Ti 2.84

Computed properties:
Space-group type   No. 225
Formation enthalpy at 0 K   2.34 kcal/mol of atoms

Number 1: final energy -45.77 eV/cell. Number 2: final energy -28.32 eV/cell. Number 3: final energy -342.00 eV/cell. Number 4: final energy -417.09 eV/cell. Number 5: final energy -30.36 eV/cell. Number 6: final energy -46.58 eV/cell. Number 7: final energy -64.53 eV/cell. Number 8: final energy -11.60 eV/cell. Number 9: final energy -14.89 eV/cell. Number 10: final energy -38.13 eV/cell. Number 11: final energy -19.93 eV/cell. Number 12: final energy -37.56 eV/cell.